1.
## SrTa3Cl (PBE-GGA)

Data for crystalline SrTa3Cl at its relaxed geometry.

Results
Energy: -33.98 eV per cell
E above lowest polymorph: 0 meV/atom
Formation energy (no corrections): 98.6 kJ per mole of atoms

Unit cell a=4.7478 b=4.7478 c=4.7478 alpha=90.00 beta=90.00 gamma=90.00
Space group Pm-3m (No. 221)
Inequivalent atoms, fractional coordinates:
Sr: 0.0000 0.0000 0.0000
Ta: 0.0000 0.5000 0.5000
Cl: 0.5000 0.5000 0.5000

---

2.
## SrTa2Cl (PBE-GGA)

Data for crystalline SrTa2Cl at its relaxed geometry.

Results
Energy: -48.12 eV per cell
E above lowest polymorph: 860 meV/atom
Formation energy (no corrections): 76.6 kJ per mole of atoms

Unit cell a=3.2762 b=5.0842 c=10.2472 alpha=90.00 beta=90.00 gamma=90.00
Space group Cmmm (No. 65)
Inequivalent atoms, fractional coordinates:
Sr: 0.0000 0.0000 0.0000
Ta: 0.0000 0.5000 0.2867
Cl: 0.0000 0.0000 0.5000

---

3.
## SrTa4Cl (PBE-GGA)

Data for crystalline SrTa4Cl at its relaxed geometry.

Results
Energy: -182.25 eV per cell
Formation energy (no corrections): 86.5 kJ per mole of atoms

Unit cell a=8.2411 b=8.2411 c=8.2411 alpha=90.00 beta=90.00 gamma=90.00
Space group F-43m (No. 216)
Inequivalent atoms, fractional coordinates:
Sr: 0.0000 0.0000 0.0000
Ta: 0.1324 0.1324 0.6324
Cl: 0.2500 0.2500 0.2500

---

4.
## SrTa2Cl (PBE-GGA)

Data for crystalline SrTa2Cl at its relaxed geometry.

Results
Energy: -81.73 eV per cell
E above lowest polymorph: 1767 meV/atom
Formation energy (no corrections): 164.1 kJ per mole of atoms

Unit cell a=7.0499 b=7.0499 c=7.0499 alpha=90.00 beta=90.00 gamma=90.00
Space group Fm-3m (No. 225)
Inequivalent atoms, fractional coordinates:
Sr: 0.0000 0.0000 0.0000
Ta: 0.2500 0.2500 0.2500
Cl: 0.0000 0.0000 0.5000